4
Lattice="9.806 0.003 0.002 9.336 3.001 0.002 9.336 1.465 2.619" Properties=species:S:1:pos:R:3 comment="MoAu2Br PBE relaxed" polymorph_energy_mev_per_atom=214.2 magmom_total_mub_per_fu=0.46 dos_ef_per_ev_atom=0.894 crystal_system=trigonal formation_energy_uncorrected_ev_per_atom=0.436 pbc="T T T"
Mo 21.359 3.351 1.967
Au 0.215 0.034 0.020
Au 14.024 2.200 1.291
Br 7.120 1.117 0.656

10
Lattice="-4.764 -3.470 0.504 4.835 -2.067 2.709 -1.476 5.417 2.979" Properties=species:S:1:pos:R:3 comment="Y2SbH2 PBE relaxed" polymorph_energy_mev_per_atom=36.9 magmom_total_mub_per_fu=0.00 dos_ef_per_ev_atom=0.385 crystal_system=orthorhombic pbc="T T T"
Y -0.507 2.764 3.172
Y -2.171 -0.296 1.130
Y 0.765 0.176 5.062
Y -0.899 -2.883 3.021
Sb -2.252 -0.265 4.369
Sb 0.847 0.145 1.823
H -1.945 1.871 1.666
H 1.228 -3.255 2.334
H 0.540 -1.990 4.526
H -2.634 3.136 3.858

5
Lattice="-1.581 -3.589 1.887 2.726 0.192 2.649 -2.593 2.452 2.491" Properties=species:S:1:pos:R:3 comment="Li2AlNiB PBE relaxed" magmom_total_mub_per_fu=0.00 dos_ef_per_ev_atom=0.385 crystal_system=tetragonal ef_ev_per_atom=0.43 pbc="T T T"
Ni 0.000 0.000 0.000
B 1.363 0.096 1.325
Al -0.724 -0.472 3.514
Li -1.297 1.226 1.245
Li -0.791 -1.795 0.944

12
Lattice="-0.323 -0.910 -5.138 3.950 -3.334 0.787 -5.378 -4.038 2.226" Properties=species:S:1:pos:R:3 comment="Li3PaIr2 PBE relaxed" magmom_total_mub_per_fu=0.00 dos_ef_per_ev_atom=0.414 crystal_system=monoclinic ef_ev_per_atom=-0.41 pbc="T T T"
Li -1.114 -3.551 0.391
Li 2.941 -3.216 -2.396
Li -0.637 -4.731 -2.516
Li -4.692 -5.066 0.270
Li 0.606 -3.209 -1.429
Li -2.357 -5.073 -0.697
Pa 2.199 -4.112 0.780
Pa -3.949 -4.169 -2.905
Ir 0.382 -2.528 -4.163
Ir -1.882 -2.350 -2.458
Ir -2.132 -5.753 2.037
Ir 0.131 -5.931 0.332

Repeat the third record exactly.
5
Lattice="-1.581 -3.589 1.887 2.726 0.192 2.649 -2.593 2.452 2.491" Properties=species:S:1:pos:R:3 comment="Li2AlNiB PBE relaxed" magmom_total_mub_per_fu=0.00 dos_ef_per_ev_atom=0.385 crystal_system=tetragonal ef_ev_per_atom=0.43 pbc="T T T"
Ni 0.000 0.000 0.000
B 1.363 0.096 1.325
Al -0.724 -0.472 3.514
Li -1.297 1.226 1.245
Li -0.791 -1.795 0.944